Entry 1:
This record from the Alexandria database describes YHgBi2 after structural relaxation. The functional is PBE.

As for the density of states at the Fermi level: 19.27 states/eV per cell. As for the formation energy: -179 meV/atom.

The structure belongs to space group I-42d (No. 122); the cell edges are 8.638, 8.638 and 6.593 Å and the angles 90.00°, 90.00° and 90.00°. The inequivalent atoms are Y at (0.000, 0.000, 0.000), Hg at (0.000, 0.000, 0.500) and Bi at (0.238, 0.250, 0.625).

Entry 2:
This record from the Alexandria database describes YHg2Bi after structural relaxation. The functional is PBE.

As for the density of states at the Fermi level: 1.05 states/eV per cell. As for the formation energy: -413 meV/atom.

The structure belongs to space group P4/mmm (No. 123); the cell edges are 4.548, 4.548 and 5.073 Å and the angles 90.00°, 90.00° and 90.00°. The inequivalent atoms are Y at (0.000, 0.000, 0.000), Hg at (0.000, 0.500, 0.500) and Bi at (0.500, 0.500, 0.000).

Entry 3:
This record from the Alexandria database describes Y2Hg3Bi3 after structural relaxation. The functional is PBE.

As for the density of states at the Fermi level: 3.71 states/eV per cell. As for the formation energy: -383 meV/atom.

The structure belongs to space group Pmmm (No. 47); the cell edges are 4.600, 5.075 and 9.377 Å and the angles 90.00°, 90.00° and 90.00°. The inequivalent atoms are Y at (0.000, 0.000, 0.242), Hg at (0.000, 0.500, 0.000), Hg at (0.500, 0.500, 0.237), Bi at (0.000, 0.500, 0.500), Bi at (0.500, 0.000, 0.000) and Bi at (0.500, 0.000, 0.500).

Entry 4:
This record from the Alexandria database describes YHgBi after structural relaxation. The functional is PBE.

As for the density of states at the Fermi level: 0.17 states/eV per cell. As for the formation energy: -455 meV/atom.

The structure belongs to space group P3m1 (No. 156); the cell edges are 4.8022, 4.8022 and 4.3628 Å and the angles 90.00°, 90.00° and 120.00°. The inequivalent atoms are Y at (0.0000, 0.0000, 0.0000), Hg at (0.6667, 0.3333, 0.7292) and Bi at (0.3333, 0.6667, 0.4073).

Entry 5:
This record from the Alexandria database describes Y2HgBi2 after structural relaxation. The functional is PBE.

As for the density of states at the Fermi level: 3.97 states/eV per cell. As for the formation energy: -507 meV/atom.

The structure belongs to space group P4/mbm (No. 127); the cell edges are 8.491, 8.491 and 4.135 Å and the angles 90.00°, 90.00° and 90.00°. The inequivalent atoms are Y at (0.157, 0.343, 0.000), Hg at (0.000, 0.000, 0.500) and Bi at (0.148, 0.648, 0.500).

Entry 6:
This record from the Alexandria database describes YHg2Bi after structural relaxation. The functional is PBE.

As for the density of states at the Fermi level: 2.26 states/eV per cell. As for the formation energy: -270 meV/atom.

The structure belongs to space group I-42d (No. 122); the cell edges are 8.559, 8.559 and 6.236 Å and the angles 90.00°, 90.00° and 90.00°. The inequivalent atoms are Y at (0.000, 0.000, 0.000), Hg at (0.250, 0.250, 0.125) and Bi at (0.000, 0.000, 0.500).

Entry 7:
This record from the Alexandria database describes YHg2Bi after structural relaxation. The functional is PBE.

As for the density of states at the Fermi level: 2.73 states/eV per cell. As for the formation energy: -256 meV/atom.

The structure belongs to space group P4/mmm (No. 123); the cell edges are 3.828, 3.828 and 7.291 Å and the angles 90.00°, 90.00° and 90.00°. The inequivalent atoms are Y at (0.000, 0.000, 0.000), Hg at (0.500, 0.500, 0.244) and Bi at (0.000, 0.000, 0.500).

Entry 8:
This record from the Alexandria database describes YHg2Bi2 after structural relaxation. The functional is PBE.

As for the density of states at the Fermi level: 6.16 states/eV per cell. As for the formation energy: -167 meV/atom.

The structure belongs to space group P4/mbm (No. 127); the cell edges are 8.148, 8.148 and 4.245 Å and the angles 90.00°, 90.00° and 90.00°. The inequivalent atoms are Y at (0.000, 0.000, 0.000), Hg at (0.127, 0.373, 0.000) and Bi at (0.176, 0.676, 0.500).

Entry 9:
This record from the Alexandria database describes YHg2Bi2 after structural relaxation. The functional is PBE.

As for the density of states at the Fermi level: 3.60 states/eV per cell. As for the formation energy: -243 meV/atom.

The structure belongs to space group I4/mmm (No. 139); the cell edges are 4.189, 4.189 and 18.202 Å and the angles 90.00°, 90.00° and 90.00°. The inequivalent atoms are Y at (0.000, 0.000, 0.000), Hg at (0.000, 0.500, 0.250) and Bi at (0.000, 0.000, 0.415).

Entry 10:
This record from the Alexandria database describes YHg2Bi2 after structural relaxation. The functional is PBE.

As for the density of states at the Fermi level: 5.42 states/eV per cell. As for the formation energy: -84 meV/atom.

The structure belongs to space group P4/mbm (No. 127); the cell edges are 8.277, 8.277 and 4.275 Å and the angles 90.00°, 90.00° and 90.00°. The inequivalent atoms are Y at (0.000, 0.000, 0.000), Hg at (0.164, 0.336, 0.500) and Bi at (0.139, 0.639, 0.000).

Entry 11:
This record from the Alexandria database describes YHgBi after structural relaxation. The functional is PBE.

As for the density of states at the Fermi level: 2.83 states/eV per cell. As for the formation energy: -398 meV/atom.

The structure belongs to space group I4mm (No. 107); the cell edges are 4.280, 4.280 and 9.450 Å and the angles 90.00°, 90.00° and 90.00°. The inequivalent atoms are Y at (0.000, 0.000, 0.000), Hg at (0.000, 0.000, 0.676) and Bi at (0.000, 0.000, 0.349).

Entry 12:
This record from the Alexandria database describes Y3HgBi after structural relaxation. The functional is PBE.

As for the density of states at the Fermi level: 1.00 states/eV per cell. As for the formation energy: -100 meV/atom.

The structure belongs to space group Pm-3m (No. 221); the cell edges are 5.605, 5.605 and 5.605 Å and the angles 90.00°, 90.00° and 90.00°. The inequivalent atoms are Y at (0.000, 0.000, 0.500), Hg at (0.000, 0.000, 0.000) and Bi at (0.500, 0.500, 0.500).

Q: Which magnetic moment values were calculated for the entries above? A: 0.00 0.00 0.00 0.00 0.00 0.00 0.00 0.00 0.00 0.00 0.00 0.00, in Bohr magnetons per cell.